Record 1
The following is a PBE-GGA calculation of ScGe after structural relaxation, from Alexandria.

abc: 5.436 5.564 10.294
angles: 90.00 90.00 90.00
Fractional positions:
Sc 0.117 0.081 0.478
Sc 0.164 0.639 0.703
Sc 0.336 0.361 0.203
Sc 0.383 0.919 0.978
Sc 0.617 0.419 0.522
Sc 0.664 0.861 0.297
Sc 0.836 0.139 0.797
Sc 0.883 0.581 0.022
Ge 0.146 0.573 0.439
Ge 0.174 0.860 0.225
Ge 0.326 0.140 0.725
Ge 0.354 0.427 0.939
Ge 0.646 0.927 0.561
Ge 0.674 0.640 0.775
Ge 0.826 0.360 0.275
Ge 0.854 0.073 0.061

DFT formation energy ... -677 meV/atom
Total energy ... -6.15 eV per atom
Crystal system ... orthorhombic
Space-group type ... No. 19

Record 2
The following is a PBE-GGA calculation of LaNd4N5 after structural relaxation, from Alexandria.

abc: 6.351 6.351 6.351
angles: 99.85 99.85 131.15
Fractional positions:
La 0.000 0.000 0.000
Nd 0.200 0.601 0.799
Nd 0.402 0.200 0.600
Nd 0.601 0.802 0.400
Nd 0.802 0.402 0.201
N 0.074 0.276 0.404
N 0.276 0.872 0.202
N 0.481 0.481 0.000
N 0.670 0.074 0.798
N 0.872 0.670 0.596

E_form (uncorrected) ... -1.351 eV/atom
Total energy ... -7.91 eV per atom
Crystal system ... tetragonal
Space-group type ... No. 79

Record 3
The following is a PBE-GGA calculation of K2CaAl after structural relaxation, from Alexandria.

abc: 3.841 3.841 11.890
angles: 90.00 90.00 90.00
Fractional positions:
K 0.000 0.000 0.202
K 0.000 0.000 0.798
Ca 0.500 0.500 0.500
Al 0.500 0.500 0.000

DFT formation energy ... 376 meV/atom
Total energy ... -1.61 eV per atom
Crystal system ... tetragonal
Space-group type ... No. 123

Record 4
The following is a PBE-GGA calculation of BaCd2SnHg after structural relaxation, from Alexandria.

abc: 7.096 7.096 7.096
angles: 139.96 139.41 58.33
Fractional positions:
Ba 0.000 0.000 0.000
Cd 0.379 0.379 0.000
Cd 0.749 0.249 0.500
Sn 0.246 0.746 0.500
Hg 0.607 0.607 0.000

DFT formation energy ... -357 meV/atom
Total energy ... -1.97 eV per atom
Crystal system ... orthorhombic
Space-group type ... No. 44

Record 5
The following is a PBE-GGA calculation of Cu6SeS2I2 after structural relaxation, from Alexandria.

abc: 6.151 6.151 6.173
angles: 98.27 98.27 120.54
Fractional positions:
Cu 0.078 0.325 0.161
Cu 0.260 0.260 0.799
Cu 0.325 0.078 0.161
Cu 0.675 0.922 0.839
Cu 0.740 0.740 0.201
Cu 0.922 0.675 0.839
Se 0.500 0.500 0.500
S 0.325 0.675 0.000
S 0.675 0.325 0.000
I 0.165 0.835 0.500
I 0.835 0.165 0.500

E_form (uncorrected) ... 0.137 eV/atom
Total energy ... -3.45 eV per atom
Crystal system ... monoclinic
Space-group type ... No. 12

Record 6
The following is a PBE-GGA calculation of Ti2GaPd3 after structural relaxation, from Alexandria.

abc: 6.257 6.257 3.874
angles: 90.00 90.00 142.19
Fractional positions:
Ti 0.167 0.833 0.000
Ti 0.833 0.167 0.000
Ga 0.500 0.500 0.000
Pd 0.000 0.000 0.500
Pd 0.332 0.668 0.500
Pd 0.668 0.332 0.500

DFT formation energy ... -544 meV/atom
Total energy ... -6.28 eV per atom
Crystal system ... orthorhombic
Space-group type ... No. 65
Polymorph energy (0 for the lowest one) ... 0.007 eV/atom

Record 7
The following is a PBE-GGA calculation of LiSmCoH6 after structural relaxation, from Alexandria.

abc: 4.408 4.408 4.217
angles: 90.00 90.00 120.00
Fractional positions:
Li 0.000 0.000 0.000
Sm 0.667 0.333 0.500
Co 0.333 0.667 0.000
H 0.183 0.367 0.254
H 0.183 0.367 0.746
H 0.183 0.817 0.254
H 0.183 0.817 0.746
H 0.633 0.817 0.254
H 0.633 0.817 0.746

Total energy ... -4.12 eV per atom
Crystal system ... hexagonal
Space-group type ... No. 187

Record 8
The following is a PBE-GGA calculation of Y2TcC after structural relaxation, from Alexandria.

abc: 8.512 8.512 8.512
angles: 23.20 23.20 23.20
Fractional positions:
Y 0.111 0.111 0.111
Y 0.889 0.889 0.889
Tc 0.000 0.000 0.000
C 0.500 0.500 0.500

DFT formation energy ... 543 meV/atom
Total energy ... -7.59 eV per atom
Crystal system ... trigonal
Space-group type ... No. 166

Record 9
The following is a PBE-GGA calculation of Ta2TcAgO after structural relaxation, from Alexandria.

abc: 5.043 5.043 3.684
angles: 90.00 90.00 90.00
Fractional positions:
Ta 0.000 0.500 0.000
Ta 0.500 0.000 0.000
Tc 0.000 0.000 0.000
Ag 0.500 0.500 0.500
O 0.000 0.000 0.500

E_form (uncorrected) ... 0.724 eV/atom
Total energy ... -7.65 eV per atom
Crystal system ... tetragonal
Space-group type ... No. 123

Record 10
The following is a PBE-GGA calculation of Ca2URhO8 after structural relaxation, from Alexandria.

abc: 5.090 5.090 6.624
angles: 90.00 90.00 92.11
Fractional positions:
Ca 0.000 0.000 0.243
Ca 0.000 0.000 0.757
U 0.500 0.500 0.500
Rh 0.500 0.500 0.000
O 0.221 0.221 0.500
O 0.235 0.235 0.000
O 0.324 0.676 0.238
O 0.324 0.676 0.762
O 0.676 0.324 0.238
O 0.676 0.324 0.762
O 0.765 0.765 0.000
O 0.779 0.779 0.500

E_form (uncorrected) ... -2.177 eV/atom
Total energy ... -7.37 eV per atom
Crystal system ... orthorhombic
Space-group type ... No. 65

Record 11
The following is a PBE-GGA calculation of BaZr4As after structural relaxation, from Alexandria.

abc: 6.040 6.040 6.040
angles: 60.00 60.00 60.00
Fractional positions:
Ba 0.000 0.000 0.000
Zr 0.119 0.627 0.627
Zr 0.627 0.119 0.627
Zr 0.627 0.627 0.119
Zr 0.627 0.627 0.627
As 0.250 0.250 0.250

DFT formation energy ... 497 meV/atom
Total energy ... -6.30 eV per atom
Crystal system ... cubic
Space-group type ... No. 216

Record 12
The following is a PBE-GGA calculation of Rb2Tl6Pt3 after structural relaxation, from Alexandria.

abc: 8.649 8.649 5.093
angles: 90.00 90.00 120.00
Fractional positions:
Rb 0.333 0.667 0.000
Rb 0.667 0.333 0.000
Tl 0.000 0.334 0.500
Tl 0.000 0.791 0.000
Tl 0.209 0.209 0.000
Tl 0.334 0.000 0.500
Tl 0.666 0.666 0.500
Tl 0.791 0.000 0.000
Pt 0.000 0.659 0.500
Pt 0.341 0.341 0.500
Pt 0.659 0.000 0.500

DFT formation energy ... -65 meV/atom
Total energy ... -3.18 eV per atom
Crystal system ... hexagonal
Space-group type ... No. 189